# PuCoSi3Tc

A relaxed structure of PuCoSi3Tc (GGA-PBE, Alexandria via LeMat-Bulk).

Output
Energy   -99.41 eV for the cell shown
Spin magnetization   11.36 Bohr magnetons per cell
DOS at the Fermi energy   27.73 states/eV/cell
Space group   Cmcm (63)

Geometry as CIF:
```
data_PuCoSi3Tc
_cell_length_a 5.517
_cell_length_b 7.277
_cell_length_c 6.469
_cell_angle_alpha 124.22
_cell_angle_beta 90.00
_cell_angle_gamma 90.00
_symmetry_space_group_name_H-M 'P 1'
_symmetry_Int_Tables_number 1
loop_
_symmetry_equiv_pos_as_xyz
'x,y,z'
loop_
_atom_site_label
_atom_site_type_symbol
_atom_site_fract_x
_atom_site_fract_y
_atom_site_fract_z
_atom_site_occupancy
Co1 Co 0.750 0.963 0.925 1
Co2 Co 0.250 0.037 0.075 1
Pu1 Pu 0.250 0.758 0.517 1
Si1 Si 0.750 0.766 0.532 1
Si2 Si 0.000 0.758 0.000 1
Tc1 Tc 0.250 0.444 0.888 1
Si3 Si 0.500 0.758 0.000 1
Si4 Si 0.000 0.242 0.000 1
Si5 Si 0.500 0.242 0.000 1
Tc2 Tc 0.750 0.556 0.112 1
Si6 Si 0.250 0.234 0.468 1
Pu2 Pu 0.750 0.242 0.483 1
```

# Pr2SmBr

A relaxed structure of Pr2SmBr (GGA-PBE, Alexandria via LeMat-Bulk).

Output
Energy   -17.85 eV for the cell shown
Spin magnetization   0.00 Bohr magnetons per cell
DOS at the Fermi energy   3.86 states/eV/cell
Space group   P4/mmm (123)

Geometry as CIF:
```
data_Pr2SmBr
_cell_length_a 3.643
_cell_length_b 3.643
_cell_length_c 9.802
_cell_angle_alpha 90.00
_cell_angle_beta 90.00
_cell_angle_gamma 90.00
_symmetry_space_group_name_H-M 'P 1'
_symmetry_Int_Tables_number 1
loop_
_symmetry_equiv_pos_as_xyz
'x,y,z'
loop_
_atom_site_label
_atom_site_type_symbol
_atom_site_fract_x
_atom_site_fract_y
_atom_site_fract_z
_atom_site_occupancy
Sm1 Sm 0.500 0.500 0.500 1
Pr1 Pr 0.000 0.000 0.235 1
Br1 Br 0.500 0.500 0.000 1
Pr2 Pr 0.000 0.000 0.765 1
```

Q: Number 2 is which compound?
A: Pr2SmBr